AgTe8: relaxed, PBE.

The structure in POSCAR format:
```
AgTe8
1.0
-6.601 6.601 2.056
6.601 -6.601 2.056
6.601 6.601 -2.056
Ag Te
1 8
Direct
0.000 0.000 0.000
0.000 0.212 0.212
0.000 0.788 0.788
0.212 0.000 0.212
0.322 0.322 0.645
0.322 0.678 0.000
0.678 0.322 0.000
0.678 0.678 0.355
0.788 0.000 0.788
```

## Properties
Crystal system: tetragonal
Uncorrected formation energy (eV/atom): 0.157
SG: I4/mmm, No. 139

RuAuCl2: relaxed, PBE.

The structure in POSCAR format:
```
RuAuCl2
1.0
3.015 0.000 0.000
0.000 3.015 0.000
0.000 0.000 10.051
Ru Au Cl
1 1 2
Direct
0.000 0.000 0.000
0.000 0.000 0.500
0.500 0.500 0.161
0.500 0.500 0.839
```

## Properties
Crystal system: tetragonal
Uncorrected formation energy (eV/atom): 0.476
E above lowest polymorph (kcal/mol of atoms): 9.94
SG: P4/mmm, No. 123

Ti6VPb: relaxed, PBE.

The structure in POSCAR format:
```
Ti6VPb
1.0
4.006 0.000 0.000
0.000 4.006 0.000
0.000 0.000 9.565
Ti V Pb
6 1 1
Direct
0.000 0.000 0.113
0.000 0.000 0.887
0.000 0.500 0.337
0.000 0.500 0.663
0.500 0.000 0.337
0.500 0.000 0.663
0.500 0.500 0.500
0.500 0.500 0.000
```

## Properties
Energy relative to the elements (eV/atom): 0.54
Crystal system: tetragonal
E above lowest polymorph (kcal/mol of atoms): 10.90
SG: P4/mmm, No. 123

HfMgTi2H: relaxed, PBE.

The structure in POSCAR format:
```
HfMgTi2H
1.0
4.238 0.000 0.000
0.000 4.238 0.000
0.000 0.000 4.299
Hf Mg Ti H
1 1 2 1
Direct
0.000 0.000 0.000
0.500 0.500 0.000
0.000 0.500 0.500
0.500 0.000 0.500
0.500 0.500 0.500
```

## Properties
Crystal system: tetragonal
E above lowest polymorph (kcal/mol of atoms): 1.64
SG: P4/mmm, No. 123

SbH6BrN2: relaxed, PBE.

The structure in POSCAR format:
```
SbH6BrN2
1.0
5.083 -6.178 0.000
5.083 6.178 0.000
-2.368 0.000 4.309
Sb H Br N
2 12 2 4
Direct
0.078 0.922 0.750
0.922 0.078 0.250
0.196 0.435 0.733
0.197 0.436 0.402
0.327 0.336 0.583
0.336 0.327 0.083
0.435 0.196 0.233
0.436 0.197 0.902
0.564 0.803 0.098
0.565 0.804 0.767
0.664 0.673 0.917
0.673 0.664 0.417
0.803 0.564 0.598
0.804 0.565 0.267
0.317 0.683 0.250
0.683 0.317 0.750
0.198 0.353 0.527
0.353 0.198 0.027
0.647 0.802 0.973
0.802 0.647 0.473
```

## Properties
Crystal system: monoclinic
Electronic total energy (eV for the cell shown): -92.561
SG: C2/c, No. 15

Pr4Si2H: relaxed, PBE.

The structure in POSCAR format:
```
Pr4Si2H
1.0
6.592 0.000 0.000
0.000 6.581 0.000
-2.897 0.000 8.301
Pr Si H
8 4 2
Direct
0.011 0.002 0.264
0.011 0.498 0.264
0.411 0.250 0.090
0.432 0.250 0.622
0.568 0.750 0.378
0.589 0.750 0.910
0.989 0.502 0.736
0.989 0.998 0.736
0.218 0.750 0.050
0.266 0.750 0.571
0.734 0.250 0.429
0.782 0.250 0.950
0.249 0.250 0.811
0.751 0.750 0.189
```

## Properties
Crystal system: monoclinic
E above lowest polymorph (kcal/mol of atoms): 0.00
SG: P2_1/m, No. 11

CaHoTl: relaxed, PBE.

The structure in POSCAR format:
```
CaHoTl
1.0
5.319 0.000 0.000
-2.659 4.606 0.000
0.000 0.000 3.759
Ca Ho Tl
1 1 1
Direct
0.000 0.000 0.000
0.667 0.333 0.463
0.333 0.667 0.651
```

## Properties
Energy relative to the elements (eV/atom): -0.16
Crystal system: trigonal
E above lowest polymorph (kcal/mol of atoms): 3.56
SG: P3m1, No. 156

In2SbMo: relaxed, PBE.

The structure in POSCAR format:
```
In2SbMo
1.0
3.124 0.000 0.000
0.000 4.784 0.000
0.000 0.000 5.789
In Sb Mo
2 1 1
Direct
0.000 0.000 0.239
0.000 0.000 0.761
0.500 0.500 0.500
0.500 0.500 0.000
```

## Properties
Crystal system: orthorhombic
Uncorrected formation energy (eV/atom): 0.500
SG: Pmmm, No. 47